VASP calculation (GGA-PBE) on a relaxed structure of KSrLiI4.

Lattice parameters (Å, degrees): 7.804 8.174 9.660 90.00 107.69 90.00
Space group P2_1/m (No. 11)
Symmetry-distinct sites (fractional):
K (0.241, 0.250, 0.056) (multiplicity 2)
Sr (0.221, 0.250, 0.555) (multiplicity 2)
Li (0.242, 0.750, 0.319) (multiplicity 2)
I (0.005, 0.502, 0.726) (multiplicity 4)
I (0.446, 0.750, 0.138) (multiplicity 2)
I (0.457, 0.750, 0.597) (multiplicity 2)



VASP calculation (GGA-PBE) on a relaxed structure of KLiTaI6.

Lattice parameters (Å, degrees): 7.5526 7.5526 15.4891 90.00 90.00 120.00
Space group P-31c (No. 163)
Symmetry-distinct sites (fractional):
K (0.0000, 0.0000, 0.0000) (multiplicity 2)
Li (0.3333, 0.6667, 0.2500) (multiplicity 2)
Ta (0.3333, 0.6667, 0.7500) (multiplicity 2)
I (0.0176, 0.3769, 0.6453) (multiplicity 12)



VASP calculation (GGA-PBE) on a relaxed structure of K2LiTbI6.

Lattice parameters (Å, degrees): 8.148 8.565 14.118 90.00 124.74 90.00
Space group P2_1/c (No. 14)
Symmetry-distinct sites (fractional):
K (0.219, 0.084, 0.247) (multiplicity 4)
Li (0.000, 0.000, 0.500) (multiplicity 2)
Tb (0.500, 0.000, 0.000) (multiplicity 2)
I (0.144, 0.196, 0.949) (multiplicity 4)
I (0.260, 0.700, 0.951) (multiplicity 4)
I (0.349, 0.019, 0.747) (multiplicity 4)



VASP calculation (GGA-PBE) on a relaxed structure of KLi2TcI8.

Lattice parameters (Å, degrees): 6.651 7.407 9.894 89.27 71.45 83.18
Space group P-1 (No. 2)
Symmetry-distinct sites (fractional):
K (0.000, 0.000, 0.000) (multiplicity 1)
Li (0.490, 0.400, 0.302) (multiplicity 2)
Tc (0.000, 0.000, 0.500) (multiplicity 1)
I (0.183, 0.169, 0.659) (multiplicity 2)
I (0.239, 0.669, 0.519) (multiplicity 2)
I (0.260, 0.513, 0.981) (multiplicity 2)
I (0.309, 0.088, 0.252) (multiplicity 2)



VASP calculation (GGA-PBE) on a relaxed structure of KLiTcI6.

Lattice parameters (Å, degrees): 7.4708 7.4708 15.4102 90.00 90.00 120.00
Space group P-31c (No. 163)
Symmetry-distinct sites (fractional):
K (0.0000, 0.0000, 0.0000) (multiplicity 2)
Li (0.3333, 0.6667, 0.2500) (multiplicity 2)
Tc (0.3333, 0.6667, 0.7500) (multiplicity 2)
I (0.0205, 0.3807, 0.6464) (multiplicity 12)



VASP calculation (GGA-PBE) on a relaxed structure of KLiTe2I.

Results
Offset from the most stable computed form (eV/f.u.): 3.30

Lattice parameters (Å, degrees): 6.439 6.439 6.482 90.00 90.00 90.00
Space group P4/mmm (No. 123)
Symmetry-distinct sites (fractional):
K (0.000, 0.000, 0.000) (multiplicity 1)
Li (0.500, 0.500, 0.500) (multiplicity 1)
Te (0.000, 0.500, 0.000) (multiplicity 2)
I (0.000, 0.000, 0.500) (multiplicity 1)



VASP calculation (GGA-PBE) on a relaxed structure of KLiTeI6.

Lattice parameters (Å, degrees): 7.7001 7.7001 7.8544 90.00 90.00 120.00
Space group P312 (No. 149)
Symmetry-distinct sites (fractional):
K (0.0000, 0.0000, 0.0000) (multiplicity 1)
Li (0.3333, 0.6667, 0.5000) (multiplicity 1)
Te (0.6667, 0.3333, 0.5000) (multiplicity 1)
I (0.0002, 0.3698, 0.7188) (multiplicity 6)



VASP calculation (GGA-PBE) on a relaxed structure of KLiTe2I.

Results
Offset from the most stable computed form (eV/f.u.): 0.00

Lattice parameters (Å, degrees): 5.032 5.032 7.293 90.00 90.00 90.00
Space group P4/mmm (No. 123)
Symmetry-distinct sites (fractional):
K (0.000, 0.000, 0.000) (multiplicity 1)
Li (0.500, 0.500, 0.500) (multiplicity 1)
Te (0.000, 0.500, 0.500) (multiplicity 2)
I (0.500, 0.500, 0.000) (multiplicity 1)



VASP calculation (GGA-PBE) on a relaxed structure of KLiThI6.

Lattice parameters (Å, degrees): 7.8759 7.8759 15.7234 90.00 90.00 120.00
Space group P-31c (No. 163)
Symmetry-distinct sites (fractional):
K (0.0000, 0.0000, 0.0000) (multiplicity 2)
Li (0.3333, 0.6667, 0.2500) (multiplicity 2)
Th (0.3333, 0.6667, 0.7500) (multiplicity 2)
I (0.0030, 0.3665, 0.1376) (multiplicity 12)



VASP calculation (GGA-PBE) on a relaxed structure of KLiTiI6.

Lattice parameters (Å, degrees): 7.4785 7.4785 7.7682 90.00 90.00 120.00
Space group P312 (No. 149)
Symmetry-distinct sites (fractional):
K (0.0000, 0.0000, 0.0000) (multiplicity 1)
Li (0.3333, 0.6667, 0.5000) (multiplicity 1)
Ti (0.6667, 0.3333, 0.5000) (multiplicity 1)
I (0.3786, 0.0190, 0.7071) (multiplicity 6)



VASP calculation (GGA-PBE) on a relaxed structure of K2LiTiI6.

Lattice parameters (Å, degrees): 7.969 8.244 13.878 90.00 124.92 90.00
Space group P2_1/c (No. 14)
Symmetry-distinct sites (fractional):
K (0.226, 0.075, 0.250) (multiplicity 4)
Li (0.000, 0.000, 0.500) (multiplicity 2)
Ti (0.500, 0.000, 0.000) (multiplicity 2)
I (0.165, 0.191, 0.957) (multiplicity 4)
I (0.272, 0.711, 0.960) (multiplicity 4)
I (0.343, 0.008, 0.758) (multiplicity 4)



VASP calculation (GGA-PBE) on a relaxed structure of K2LiTlI6.

Lattice parameters (Å, degrees): 8.111 8.503 13.918 90.00 123.74 90.00
Space group P2_1/c (No. 14)
Symmetry-distinct sites (fractional):
K (0.210, 0.093, 0.244) (multiplicity 4)
Li (0.000, 0.000, 0.500) (multiplicity 2)
Tl (0.500, 0.000, 0.000) (multiplicity 2)
I (0.141, 0.194, 0.949) (multiplicity 4)
I (0.262, 0.688, 0.956) (multiplicity 4)
I (0.354, 0.006, 0.748) (multiplicity 4)



VASP calculation (GGA-PBE) on a relaxed structure of K2LiTl3I6.

Lattice parameters (Å, degrees): 8.549 14.685 8.549 90.00 109.65 90.00
Space group C2/m (No. 12)
Symmetry-distinct sites (fractional):
K (0.000, 0.164, 0.000) (multiplicity 4)
Li (0.000, 0.500, 0.000) (multiplicity 2)
Tl (0.000, 0.000, 0.500) (multiplicity 2)
Tl (0.000, 0.328, 0.500) (multiplicity 4)
I (0.224, 0.350, 0.225) (multiplicity 8)
I (0.228, 0.500, 0.753) (multiplicity 4)



VASP calculation (GGA-PBE) on a relaxed structure of K3LiTl4I8.

Lattice parameters (Å, degrees): 17.146 9.893 9.949 90.00 124.96 90.00
Space group C2/m (No. 12)
Symmetry-distinct sites (fractional):
K (0.000, 0.000, 0.000) (multiplicity 2)
K (0.250, 0.250, 0.000) (multiplicity 4)
Li (0.000, 0.500, 0.000) (multiplicity 2)
Tl (0.000, 0.000, 0.500) (multiplicity 2)
Tl (0.000, 0.500, 0.500) (multiplicity 2)
Tl (0.250, 0.250, 0.500) (multiplicity 4)
I (0.000, 0.267, 0.232) (multiplicity 8)
I (0.239, 0.500, 0.238) (multiplicity 4)
I (0.249, 0.000, 0.248) (multiplicity 4)



VASP calculation (GGA-PBE) on a relaxed structure of KLi2TmI6.

Lattice parameters (Å, degrees): 7.8403 7.8403 21.5826 90.00 90.00 120.00
Space group R3 (No. 146, hexagonal axes)
Symmetry-distinct sites (fractional):
K (0.0000, 0.0000, 0.0000) (multiplicity 3)
Li (0.0000, 0.0000, 0.1949) (multiplicity 3)
Li (0.0000, 0.0000, 0.7015) (multiplicity 3)
Tm (0.0000, 0.0000, 0.5150) (multiplicity 3)
I (0.0057, 0.3351, 0.4446) (multiplicity 9)
I (0.0707, 0.7284, 0.2701) (multiplicity 9)



VASP calculation (GGA-PBE) on a relaxed structure of K2LiTmI6.

Lattice parameters (Å, degrees): 8.115 8.508 14.068 90.00 124.78 90.00
Space group P2_1/c (No. 14)
Symmetry-distinct sites (fractional):
K (0.220, 0.082, 0.248) (multiplicity 4)
Li (0.000, 0.000, 0.500) (multiplicity 2)
Tm (0.500, 0.000, 0.000) (multiplicity 2)
I (0.148, 0.194, 0.950) (multiplicity 4)
I (0.263, 0.702, 0.953) (multiplicity 4)
I (0.349, 0.017, 0.749) (multiplicity 4)



VASP calculation (GGA-PBE) on a relaxed structure of K2LiUI6.

Lattice parameters (Å, degrees): 8.5376 8.5376 43.5416 90.00 90.00 120.00
Space group R-3m (No. 166, hexagonal axes)
Symmetry-distinct sites (fractional):
K (0.0000, 0.0000, 0.1078) (multiplicity 6)
K (0.0000, 0.0000, 0.2729) (multiplicity 6)
Li (0.0000, 0.0000, 0.0000) (multiplicity 3)
Li (0.0000, 0.0000, 0.5000) (multiplicity 3)
U (0.0000, 0.0000, 0.4148) (multiplicity 6)
I (0.0001, 0.5000, 0.1254) (multiplicity 18)
I (0.0132, 0.5066, 0.7081) (multiplicity 18)



VASP calculation (GGA-PBE) on a relaxed structure of KLi2UI8.

Lattice parameters (Å, degrees): 7.270 7.518 10.147 89.87 89.89 80.46
Space group P-1 (No. 2)
Symmetry-distinct sites (fractional):
K (0.000, 0.000, 0.000) (multiplicity 1)
Li (0.499, 0.500, 0.162) (multiplicity 2)
U (0.000, 0.000, 0.500) (multiplicity 1)
I (0.219, 0.286, 0.500) (multiplicity 2)
I (0.249, 0.809, 0.705) (multiplicity 2)
I (0.250, 0.810, 0.295) (multiplicity 2)
I (0.297, 0.327, 0.000) (multiplicity 2)



VASP calculation (GGA-PBE) on a relaxed structure of KLiV2I.

Lattice parameters (Å, degrees): 5.578 5.578 6.319 90.00 90.00 90.00
Space group P4/mmm (No. 123)
Symmetry-distinct sites (fractional):
K (0.000, 0.000, 0.000) (multiplicity 1)
Li (0.500, 0.500, 0.500) (multiplicity 1)
V (0.000, 0.500, 0.000) (multiplicity 2)
I (0.000, 0.000, 0.500) (multiplicity 1)



Here are the calculated formation energy (no corrections) numbers, same order: -1.4730; -0.7728; -1.3884; -0.6036; -0.6129; 0.1697; -0.6413; -0.4907; -1.2798; -0.9568; -1.0936; -0.8993; -1.0006; -1.0102; -1.2927; -1.3760; -1.1033; -0.9707; 1.5844 (eV per atom).